# 1
The following is a PBE calculation of CaVI4 after structural relaxation, from Alexandria via LeMat-Bulk.

## Properties
- Calculated total energy: -23.393 eV/f.u.
- Crystal system: monoclinic
- Energy relative to the elements, uncorrected: -1.0121 eV per atom
- M_tot: 0.50 μB/atom

a b c (Å): 4.293 8.408 7.486
angles (deg): 108.69 90.00 104.79
Fractional coordinates of all 6 atoms:
Ca: 0.500 0.000 0.500
V: 0.000 0.000 0.000
I: 0.113 0.227 0.389
I: 0.887 0.773 0.611
I: 0.606 0.211 0.934
I: 0.394 0.789 0.066

=====

# 2
The following is a PBE calculation of Ba4SiI2F after structural relaxation, from Alexandria via LeMat-Bulk.

## Properties
- Calculated total energy: -29.533 eV/f.u.
- Crystal system: monoclinic
- Energy relative to the elements, uncorrected: -1.4309 eV per atom
- M_tot: 0.00 μB/atom
- D(E_F): 3.7 states/eV/cell

a b c (Å): 4.793 7.717 8.849
angles (deg): 108.52 90.00 90.00
Fractional coordinates of all 8 atoms:
Ba: 0.500 0.238 0.207
Ba: 0.500 0.762 0.793
Ba: 0.000 0.251 0.799
Ba: 0.000 0.749 0.201
Si: 0.500 0.500 0.000
I: 0.500 0.000 0.500
I: 0.000 0.500 0.500
F: 0.000 0.000 0.000

=====

# 3
The following is a PBE calculation of TcAsAu2 after structural relaxation, from Alexandria via LeMat-Bulk.

## Properties
- Calculated total energy: -20.153 eV/f.u.
- Crystal system: tetragonal
- E_form: 0.35 eV/atom
- M_tot: 0.11 μB/atom
- D(E_F): 2.9 states/eV/cell

a b c (Å): 2.799 2.799 8.930
angles (deg): 90.00 90.00 89.95
Fractional coordinates of all 4 atoms:
As: 0.500 0.500 0.750
Au: 0.000 0.000 0.017
Au: 0.000 0.000 0.483
Tc: 0.500 0.500 0.250

=====

# 4
The following is a PBE calculation of SbRuN2 after structural relaxation, from Alexandria via LeMat-Bulk.

## Properties
- Calculated total energy: -27.543 eV/f.u.
- Crystal system: trigonal
- Energy relative to the elements, uncorrected: 0.6265 eV per atom
- M_tot: 0.25 μB/atom
- D(E_F): 3.5 states/eV/cell

a b c (Å): 6.735 6.735 6.735
angles (deg): 26.82 26.82 26.82
Fractional coordinates of all 4 atoms:
Sb: 0.000 0.000 0.000
N: 0.887 0.887 0.887
N: 0.113 0.113 0.113
Ru: 0.500 0.500 0.500

=====

# 5
The following is a PBE calculation of LaSb2Mo after structural relaxation, from Alexandria via LeMat-Bulk.

## Properties
- Calculated total energy: -23.947 eV/f.u.
- Crystal system: orthorhombic
- Energy relative to the elements, uncorrected: 0.0141 eV per atom
- M_tot: 0.66 μB/atom
- D(E_F): 3.0 states/eV/cell
- Polymorph energy (0 for the lowest one): 307.4 meV/atom

a b c (Å): 4.605 5.164 4.254
angles (deg): 90.00 90.00 90.00
Fractional coordinates of all 4 atoms:
La: 0.500 0.000 0.500
Mo: 0.000 0.500 0.500
Sb: 0.000 0.000 0.000
Sb: 0.500 0.500 0.000

=====

# 6
The following is a PBE calculation of SrLaGaSn after structural relaxation, from Alexandria via LeMat-Bulk.

## Properties
- Calculated total energy: -15.743 eV/f.u.
- Crystal system: cubic
- E_form: -0.53 eV/atom
- M_tot: 0.00 μB/atom
- D(E_F): 2.4 states/eV/cell

a b c (Å): 5.547 5.547 5.547
angles (deg): 60.00 60.00 60.00
Fractional coordinates of all 4 atoms:
Sr: 0.000 0.000 0.000
Sn: 0.250 0.250 0.250
Ga: 0.750 0.750 0.750
La: 0.500 0.500 0.500

=====

# 7
The following is a PBE calculation of Pr6Ge2As3Se after structural relaxation, from Alexandria via LeMat-Bulk.

## Properties
- Calculated total energy: -71.248 eV/f.u.
- Crystal system: monoclinic
- Energy relative to the elements, uncorrected: -1.3252 eV per atom
- M_tot: 0.00 μB/atom
- D(E_F): 4.7 states/eV/cell

a b c (Å): 4.282 8.671 9.642
angles (deg): 102.96 102.83 90.00
Fractional coordinates of all 12 atoms:
Pr: 0.333 0.918 0.665
Pr: 0.666 0.586 0.332
Pr: 0.667 0.082 0.335
Pr: 0.000 0.255 0.001
Pr: 0.000 0.745 0.999
Pr: 0.334 0.414 0.668
Ge: 0.834 0.667 0.668
Ge: 0.166 0.333 0.332
As: 0.500 0.500 0.000
As: 0.835 0.166 0.670
As: 0.165 0.834 0.330
Se: 0.500 0.000 0.000

=====

# 8
The following is a PBE calculation of Rb2Tl2P after structural relaxation, from Alexandria via LeMat-Bulk.

## Properties
- Calculated total energy: -12.680 eV/f.u.
- Crystal system: monoclinic
- E_form: -0.12 eV/atom
- M_tot: 0.00 μB/atom
- D(E_F): 3.3 states/eV/cell
- Polymorph energy (0 for the lowest one): 0.0 meV/atom

a b c (Å): 7.420 8.031 7.376
angles (deg): 104.12 90.00 117.52
Fractional coordinates of all 10 atoms:
Rb: 0.590 0.294 0.636
Rb: 0.297 0.706 0.864
Rb: 0.410 0.706 0.364
Rb: 0.703 0.294 0.136
Tl: 0.832 0.786 0.033
Tl: 0.046 0.214 0.467
Tl: 0.168 0.214 0.967
Tl: 0.954 0.786 0.533
P: 0.779 0.000 0.750
P: 0.221 0.000 0.250

=====

# 9
The following is a PBE calculation of Pr2Sm4Sc after structural relaxation, from Alexandria via LeMat-Bulk.

## Properties
- Calculated total energy: -30.958 eV/f.u.
- Crystal system: tetragonal
- E_form: 0.54 eV/atom
- M_tot: 0.13 μB/atom
- D(E_F): 9.0 states/eV/cell
- Polymorph energy (0 for the lowest one): 364.5 meV/atom

a b c (Å): 5.453 5.453 9.637
angles (deg): 106.43 106.43 90.00
Fractional coordinates of all 7 atoms:
Pr: 0.626 0.626 0.251
Pr: 0.374 0.374 0.749
Sm: 0.822 0.822 0.644
Sm: 0.178 0.178 0.356
Sm: 0.000 0.500 0.000
Sm: 0.500 0.000 0.000
Sc: 0.000 0.000 0.000

=====

# 10
The following is a PBE calculation of LiInSb after structural relaxation, from Alexandria via LeMat-Bulk.

## Properties
- Calculated total energy: -9.300 eV/f.u.
- Crystal system: trigonal
- Energy relative to the elements, uncorrected: -0.1752 eV per atom
- M_tot: 0.00 μB/atom
- D(E_F): 1.1 states/eV/cell
- Polymorph energy (0 for the lowest one): 107.9 meV/atom

a b c (Å): 5.101 5.101 3.331
angles (deg): 90.00 90.00 120.00
Fractional coordinates of all 3 atoms:
In: 0.000 0.000 0.965
Li: 0.667 0.333 0.363
Sb: 0.333 0.667 0.672

=====

# 11
The following is a PBE calculation of InHg6As4Cl7 after structural relaxation, from Alexandria via LeMat-Bulk.

## Properties
- Calculated total energy: -45.156 eV/f.u.
- Crystal system: cubic
- Energy relative to the elements, uncorrected: -0.5046 eV per atom
- M_tot: 0.00 μB/atom

a b c (Å): 12.413 12.413 12.413
angles (deg): 90.00 90.00 90.00
Fractional coordinates of all 72 atoms:
In: 0.000 0.000 0.500
In: 0.500 0.000 0.000
In: 0.500 0.500 0.500
In: 0.000 0.500 0.000
Hg: 0.699 0.952 0.316
Hg: 0.199 0.548 0.684
Hg: 0.816 0.699 0.548
Hg: 0.548 0.816 0.699
Hg: 0.699 0.548 0.816
Hg: 0.452 0.316 0.801
Hg: 0.548 0.684 0.199
Hg: 0.684 0.199 0.548
Hg: 0.048 0.816 0.801
Hg: 0.301 0.452 0.184
Hg: 0.801 0.452 0.316
Hg: 0.301 0.048 0.684
Hg: 0.952 0.316 0.699
Hg: 0.184 0.199 0.952
Hg: 0.816 0.801 0.048
Hg: 0.048 0.684 0.301
Hg: 0.316 0.699 0.952
Hg: 0.184 0.301 0.452
Hg: 0.801 0.048 0.816
Hg: 0.452 0.184 0.301
Hg: 0.199 0.952 0.184
Hg: 0.684 0.301 0.048
Hg: 0.316 0.801 0.452
Hg: 0.952 0.184 0.199
As: 0.735 0.735 0.735
As: 0.649 0.149 0.351
As: 0.265 0.265 0.265
As: 0.765 0.235 0.735
As: 0.851 0.851 0.851
As: 0.351 0.649 0.149
As: 0.235 0.765 0.265
As: 0.149 0.351 0.649
As: 0.235 0.735 0.765
As: 0.265 0.235 0.765
As: 0.765 0.265 0.235
As: 0.851 0.649 0.351
As: 0.149 0.149 0.149
As: 0.649 0.351 0.851
As: 0.735 0.765 0.235
As: 0.351 0.851 0.649
Cl: 0.303 0.540 0.453
Cl: 0.040 0.453 0.197
Cl: 0.697 0.040 0.047
Cl: 0.500 0.000 0.500
Cl: 0.460 0.953 0.197
Cl: 0.197 0.460 0.953
Cl: 0.453 0.197 0.040
Cl: 0.000 0.000 0.000
Cl: 0.960 0.953 0.303
Cl: 0.453 0.303 0.540
Cl: 0.803 0.540 0.047
Cl: 0.047 0.697 0.040
Cl: 0.547 0.697 0.460
Cl: 0.953 0.303 0.960
Cl: 0.697 0.460 0.547
Cl: 0.803 0.960 0.547
Cl: 0.500 0.500 0.000
Cl: 0.000 0.500 0.500
Cl: 0.540 0.047 0.803
Cl: 0.303 0.960 0.953
Cl: 0.040 0.047 0.697
Cl: 0.953 0.197 0.460
Cl: 0.197 0.040 0.453
Cl: 0.540 0.453 0.303
Cl: 0.047 0.803 0.540
Cl: 0.547 0.803 0.960
Cl: 0.960 0.547 0.803
Cl: 0.460 0.547 0.697

=====

# 12
The following is a PBE calculation of Tb6Nd3TmTh2 after structural relaxation, from Alexandria via LeMat-Bulk.

## Properties
- Calculated total energy: -61.165 eV/f.u.
- Crystal system: monoclinic
- E_form: 0.02 eV/atom
- M_tot: 0.00 μB/atom
- D(E_F): 16.3 states/eV/cell

a b c (Å): 6.213 6.213 11.865
angles (deg): 95.02 95.02 119.96
Fractional coordinates of all 12 atoms:
Tb: 0.919 0.582 0.756
Tb: 0.745 0.745 0.245
Tb: 0.081 0.418 0.244
Tb: 0.582 0.919 0.756
Tb: 0.255 0.255 0.755
Tb: 0.418 0.081 0.244
Nd: 0.167 0.833 0.500
Nd: 0.833 0.167 0.500
Nd: 0.500 0.500 0.500
Tm: 0.000 0.000 0.000
Th: 0.333 0.667 0.000
Th: 0.667 0.333 0.000

=====

# 13
The following is a PBE calculation of RbMnBSe4 after structural relaxation, from Alexandria via LeMat-Bulk.

## Properties
- Calculated total energy: -33.853 eV/f.u.
- Crystal system: monoclinic
- Energy relative to the elements, uncorrected: -0.4429 eV per atom
- M_tot: 0.45 μB/atom
- D(E_F): 4.8 states/eV/cell

a b c (Å): 6.218 6.652 10.092
angles (deg): 90.00 121.58 90.00
Fractional coordinates of all 14 atoms:
Rb: 0.668 0.750 0.934
Rb: 0.332 0.250 0.066
Mn: 0.774 0.750 0.447
Mn: 0.226 0.250 0.553
B: 0.190 0.750 0.348
B: 0.810 0.250 0.652
Se: 0.050 0.486 0.676
Se: 0.950 0.986 0.324
Se: 0.950 0.514 0.324
Se: 0.050 0.014 0.676
Se: 0.333 0.750 0.204
Se: 0.667 0.250 0.796
Se: 0.514 0.750 0.559
Se: 0.486 0.250 0.441

=====

# 14
The following is a PBE calculation of Ni2H after structural relaxation, from Alexandria via LeMat-Bulk.

## Properties
- Calculated total energy: -14.813 eV/f.u.
- Crystal system: tetragonal
- M_tot: 0.15 μB/atom
- D(E_F): 4.7 states/eV/cell

a b c (Å): 2.558 2.558 3.798
angles (deg): 90.00 90.00 90.00
Fractional coordinates of all 3 atoms:
Ni: 0.000 0.500 0.229
Ni: 0.500 0.000 0.771
H: 0.500 0.500 0.500

=====

# 15
The following is a PBE calculation of LiTeRh2 after structural relaxation, from Alexandria via LeMat-Bulk.

## Properties
- Calculated total energy: -20.861 eV/f.u.
- Crystal system: tetragonal
- Energy relative to the elements, uncorrected: -0.2758 eV per atom
- M_tot: 0.00 μB/atom
- D(E_F): 2.4 states/eV/cell

a b c (Å): 4.948 4.948 4.948
angles (deg): 134.08 134.06 66.98
Fractional coordinates of all 4 atoms:
Li: 0.250 0.750 0.500
Rh: 0.000 0.000 0.000
Rh: 0.750 0.250 0.500
Te: 0.500 0.500 0.000

=====

# 16
The following is a PBE calculation of Nb2SiSn2 after structural relaxation, from Alexandria via LeMat-Bulk.

## Properties
- Calculated total energy: -33.789 eV/f.u.
- Crystal system: tetragonal
- Energy relative to the elements, uncorrected: -0.0442 eV per atom
- M_tot: 0.00 μB/atom
- D(E_F): 7.3 states/eV/cell

a b c (Å): 6.798 6.798 4.364
angles (deg): 90.00 90.00 90.00
Fractional coordinates of all 10 atoms:
Nb: 0.350 0.850 0.000
Nb: 0.850 0.650 0.000
Nb: 0.650 0.150 0.000
Nb: 0.150 0.350 0.000
Si: 0.000 0.000 0.000
Si: 0.500 0.500 0.000
Sn: 0.159 0.659 0.500
Sn: 0.659 0.841 0.500
Sn: 0.841 0.341 0.500
Sn: 0.341 0.159 0.500

=====

# 17
The following is a PBE calculation of NbAlSb2Te after structural relaxation, from Alexandria via LeMat-Bulk.

## Properties
- Calculated total energy: -20.120 eV/f.u.
- Crystal system: tetragonal
- Energy relative to the elements, uncorrected: 1.0158 eV per atom
- M_tot: 0.01 μB/atom
- D(E_F): 9.1 states/eV/cell
- Polymorph energy (0 for the lowest one): 588.6 meV/atom

a b c (Å): 5.133 5.133 5.263
angles (deg): 90.00 90.00 90.00
Fractional coordinates of all 5 atoms:
Sb: 0.000 0.500 0.000
Sb: 0.500 0.000 0.000
Nb: 0.500 0.500 0.500
Te: 0.000 0.000 0.500
Al: 0.000 0.000 0.000

=====

# 18
The following is a PBE calculation of Dy3Er4Te8 after structural relaxation, from Alexandria via LeMat-Bulk.

## Properties
- Calculated total energy: -77.173 eV/f.u.
- Crystal system: monoclinic
- Energy relative to the elements, uncorrected: -1.3321 eV per atom
- M_tot: 0.00 μB/atom
- D(E_F): 6.6 states/eV/cell

a b c (Å): 8.637 8.636 8.636
angles (deg): 90.02 119.99 119.99
Fractional coordinates of all 15 atoms:
Dy: 0.500 0.500 0.000
Dy: 0.500 0.000 0.500
Dy: 0.500 0.500 0.500
Er: 0.500 0.000 0.000
Er: 0.000 0.500 0.000
Er: 0.000 0.000 0.000
Er: 0.000 0.000 0.500
Te: 0.510 0.254 0.254
Te: 0.000 0.745 0.255
Te: 0.998 0.254 0.254
Te: 0.500 0.751 0.249
Te: 0.500 0.249 0.751
Te: 0.002 0.746 0.746
Te: 0.000 0.255 0.745
Te: 0.490 0.746 0.746

=====

# 19
The following is a PBE calculation of CuRe2Os after structural relaxation, from Alexandria via LeMat-Bulk.

## Properties
- Calculated total energy: -38.369 eV/f.u.
- Crystal system: orthorhombic
- E_form: 0.46 eV/atom
- M_tot: 0.00 μB/atom
- D(E_F): 3.6 states/eV/cell
- Polymorph energy (0 for the lowest one): 266.1 meV/atom

a b c (Å): 2.670 2.670 9.127
angles (deg): 90.00 90.00 116.09
Fractional coordinates of all 4 atoms:
Cu: 0.500 0.500 0.250
Os: 0.500 0.500 0.750
Re: 0.000 0.000 0.001
Re: 0.000 0.000 0.499

=====

# 20
The following is a PBE calculation of Rb6Sn3I14 after structural relaxation, from Alexandria via LeMat-Bulk.

## Properties
- Calculated total energy: -61.597 eV/f.u.
- Crystal system: trigonal
- Energy relative to the elements, uncorrected: -0.9601 eV per atom
- M_tot: 0.00 μB/atom
- D(E_F): 1.4 states/eV/cell

a b c (Å): 7.239 13.649 13.649
angles (deg): 120.00 90.00 90.00
Fractional coordinates of all 23 atoms:
Rb: 0.214 0.811 0.126
Rb: 0.214 0.874 0.685
Rb: 0.214 0.315 0.189
Rb: 0.783 0.542 0.544
Rb: 0.783 0.456 0.998
Rb: 0.783 0.002 0.458
Sn: 0.808 0.000 0.000
Sn: 0.380 0.333 0.667
Sn: 0.486 0.667 0.333
I: 0.919 0.113 0.253
I: 0.919 0.747 0.860
I: 0.919 0.140 0.887
I: 0.532 0.245 0.454
I: 0.532 0.546 0.792
I: 0.532 0.208 0.755
I: 0.392 0.000 0.000
I: 0.001 0.333 0.667
I: 0.712 0.754 0.188
I: 0.712 0.812 0.566
I: 0.712 0.434 0.246
I: 0.266 0.569 0.479
I: 0.266 0.521 0.090
I: 0.266 0.910 0.431